# ZnAg2, optimized geometry, DFT GGA-PBE
# Total DFT energy (no corrections)   -2.11 eV per atom
# Theoretical density   8.06 g/cm3
# Formation energy   0.195 eV per atom
# Crystal system   cubic
data_ZnAg2
_symmetry_space_group_name_H-M 'P 1'
_symmetry_Int_Tables_number 1
_symmetry_space_group_name_Hall 'P 1'
_cell_length_a 5.473
_cell_length_b 5.473
_cell_length_c 5.473
_cell_angle_alpha 60.00
_cell_angle_beta 60.00
_cell_angle_gamma 60.00
loop_
_atom_site_label
_atom_site_type_symbol
_atom_site_fract_x
_atom_site_fract_y
_atom_site_fract_z
Ag1 Ag 0.125 0.625 0.625
Ag2 Ag 0.625 0.625 0.625
Ag3 Ag 0.625 0.125 0.625
Ag4 Ag 0.625 0.625 0.125
Zn1 Zn 0.250 0.250 0.250
Zn2 Zn 0.000 0.000 0.000

=====

# ZnAg, optimized geometry, DFT GGA-PBE
# Total DFT energy (no corrections)   -2.07 eV per atom
# Theoretical density   8.86 g/cm3
# Formation energy   -0.025 eV per atom
# Crystal system   orthorhombic
data_ZnAg
_symmetry_space_group_name_H-M 'P 1'
_symmetry_Int_Tables_number 1
_symmetry_space_group_name_Hall 'P 1'
_cell_length_a 9.806
_cell_length_b 2.847
_cell_length_c 4.651
_cell_angle_alpha 90.00
_cell_angle_beta 90.00
_cell_angle_gamma 90.00
loop_
_atom_site_label
_atom_site_type_symbol
_atom_site_fract_x
_atom_site_fract_y
_atom_site_fract_z
Ag1 Ag 0.408 0.500 0.500
Ag2 Ag 0.682 0.000 0.500
Ag3 Ag 0.234 0.500 0.000
Ag4 Ag 0.509 0.000 0.000
Zn1 Zn 0.161 0.000 0.500
Zn2 Zn 0.990 0.000 0.000
Zn3 Zn 0.756 0.500 0.000
Zn4 Zn 0.926 0.500 0.500

=====

# ZnAg, optimized geometry, DFT GGA-PBE
# Total DFT energy (no corrections)   -2.07 eV per atom
# Theoretical density   8.86 g/cm3
# Formation energy   -0.027 eV per atom
# Crystal system   monoclinic
data_ZnAg
_symmetry_space_group_name_H-M 'P 1'
_symmetry_Int_Tables_number 1
_symmetry_space_group_name_Hall 'P 1'
_cell_length_a 7.514
_cell_length_b 5.704
_cell_length_c 4.626
_cell_angle_alpha 90.00
_cell_angle_beta 90.00
_cell_angle_gamma 100.54
loop_
_atom_site_label
_atom_site_type_symbol
_atom_site_fract_x
_atom_site_fract_y
_atom_site_fract_z
Ag1 Ag 0.538 0.886 0.500
Ag2 Ag 0.320 0.327 0.000
Ag3 Ag 0.671 0.669 0.000
Ag4 Ag 0.684 0.169 0.000
Ag5 Ag 0.552 0.386 0.500
Ag6 Ag 0.902 0.729 0.500
Zn1 Zn 0.893 0.224 0.500
Zn2 Zn 0.330 0.832 0.000
Zn3 Zn 0.003 0.998 0.000
Zn4 Zn 0.002 0.502 0.000
Zn5 Zn 0.220 0.057 0.500
Zn6 Zn 0.220 0.553 0.500

=====

# Zr2ZnAg2, optimized geometry, DFT GGA-PBE
# Total DFT energy (no corrections)   -4.45 eV per atom
# Theoretical density   7.45 g/cm3
# Formation energy   0.352 eV per atom
# Crystal system   tetragonal
data_Zr2ZnAg2
_symmetry_space_group_name_H-M 'P 1'
_symmetry_Int_Tables_number 1
_symmetry_space_group_name_Hall 'P 1'
_cell_length_a 7.601
_cell_length_b 7.601
_cell_length_c 7.601
_cell_angle_alpha 150.95
_cell_angle_beta 150.95
_cell_angle_gamma 41.55
loop_
_atom_site_label
_atom_site_type_symbol
_atom_site_fract_x
_atom_site_fract_y
_atom_site_fract_z
Zr1 Zr 0.408 0.408 0.000
Zr2 Zr 0.592 0.592 0.000
Ag1 Ag 0.250 0.750 0.500
Ag2 Ag 0.750 0.250 0.500
Zn1 Zn 0.000 0.000 0.000